The following is a GGA-PBE calculation of Pd4RhCl2 after structural relaxation, from the Alexandria database.

Calculated values
Formation energy without anion corrections   5.0 eV per formula unit
Crystal system   tetragonal

Lattice parameters (Å, degrees): 4.921 4.921 7.274 70.23 70.23 90.00
Positions (direct):
Pd 0.193 0.193 0.614
Pd 0.807 0.807 0.386
Pd 0.000 0.500 0.000
Pd 0.500 0.000 0.000
Cl 0.623 0.623 0.755
Cl 0.377 0.377 0.245
Rh 0.000 0.000 0.000